No. 1
This record from OQMD via LeMat-Bulk describes a relaxed LuFeCoSn crystal. The functional is PBE.

Cell: 4.6169 4.6169 4.6169 Å, 60.00 60.00 60.00°
Atoms (fractional coordinates):
Co 0.7500 0.7500 0.7500
Fe 0.5000 0.5000 0.5000
Lu 0.2500 0.2500 0.2500
Sn 0.0000 0.0000 0.0000

E above lowest polymorph   1.10 eV per formula unit
Symmetry   No. 216



No. 2
This record from OQMD via LeMat-Bulk describes a relaxed Tb2CoSiI2 crystal. The functional is PBE.

Cell: 4.0565 4.0565 12.2831 Å, 90.00 90.00 120.00°
Atoms (fractional coordinates):
Co 0.3333 0.6667 0.9981
I 0.3333 0.6667 0.3236
I 0.6667 0.3333 0.6760
Si 0.6667 0.3333 0.0021
Tb 0.0000 0.0000 0.1499
Tb 0.0000 0.0000 0.8502

Electronic total energy   -31.25 eV per formula unit
Symmetry   No. 156



No. 3
This record from OQMD via LeMat-Bulk describes a relaxed CoSiNiAu crystal. The functional is PBE.

Cell: 4.1673 4.1673 4.1673 Å, 60.00 60.00 60.00°
Atoms (fractional coordinates):
Au 0.5000 0.5000 0.5000
Co 0.7500 0.7500 0.7500
Ni 0.2500 0.2500 0.2500
Si 0.0000 0.0000 0.0000

E above lowest polymorph   0.00 eV per formula unit
Symmetry   No. 216



No. 4
This record from OQMD via LeMat-Bulk describes a relaxed Ta2H crystal. The functional is PBE.

Cell: 5.8101 5.8101 5.8101 Å, 60.00 60.00 60.00°
Atoms (fractional coordinates):
H 0.2500 0.2500 0.2500
H 0.5000 0.5000 0.5000
Ta 0.3750 0.3750 0.3750
Ta 0.3750 0.8750 0.3750
Ta 0.8750 0.3750 0.3750
Ta 0.3750 0.3750 0.8750

E above lowest polymorph   5.35 eV per formula unit
Symmetry   No. 227



No. 5
This record from OQMD via LeMat-Bulk describes a relaxed GdAgSnS3 crystal. The functional is PBE.

Cell: 13.0960 4.0682 11.0669 Å, 90.00 90.00 90.00°
Atoms (fractional coordinates):
Ag 0.4764 0.7500 0.0884
Ag 0.9764 0.7500 0.4116
Ag 0.0236 0.2500 0.5884
Ag 0.5236 0.2500 0.9116
Gd 0.9901 0.2500 0.1608
Gd 0.4901 0.2500 0.3392
Gd 0.5099 0.7500 0.6608
Gd 0.0099 0.7500 0.8392
S 0.1116 0.7500 0.0587
S 0.6080 0.2500 0.1275
S 0.8596 0.7500 0.2282
S 0.3596 0.7500 0.2718
S 0.1080 0.2500 0.3725
S 0.6116 0.7500 0.4413
S 0.3884 0.2500 0.5587
S 0.8920 0.7500 0.6275
S 0.6404 0.2500 0.7282
S 0.1404 0.2500 0.7718
S 0.3920 0.7500 0.8725
S 0.8884 0.2500 0.9413
Sn 0.7432 0.7500 0.0329
Sn 0.2432 0.7500 0.4671
Sn 0.7568 0.2500 0.5329
Sn 0.2568 0.2500 0.9671

E above lowest polymorph   0.03 eV per formula unit
Symmetry   No. 62



No. 6
This record from OQMD via LeMat-Bulk describes a relaxed HfCuSiPt crystal. The functional is PBE.

Cell: 4.4558 4.4558 4.4558 Å, 60.00 60.00 60.00°
Atoms (fractional coordinates):
Cu 0.7500 0.7500 0.7500
Hf 0.5000 0.5000 0.5000
Pt 0.2500 0.2500 0.2500
Si 0.0000 0.0000 0.0000

E above lowest polymorph   0.00 eV per formula unit
Symmetry   No. 216



No. 7
This record from OQMD via LeMat-Bulk describes a relaxed HoPuTc crystal. The functional is PBE.

Cell: 4.7003 4.7003 4.7003 Å, 60.00 60.00 60.00°
Atoms (fractional coordinates):
Ho 0.0000 0.0000 0.0000
Pu 0.2500 0.2500 0.2500
Tc 0.7500 0.7500 0.7500

Energy relative to the elements   35.4 kcal/mol of atoms
Symmetry   No. 216



No. 8
This record from OQMD via LeMat-Bulk describes a relaxed Ta2PN crystal. The functional is PBE.

Cell: 5.4515 5.4515 12.6285 Å, 102.45 102.45 59.97°
Atoms (fractional coordinates):
N 0.5000 0.0000 0.0000
N 0.8332 0.3333 0.0000
N 0.1668 0.6667 0.0000
N 0.3333 0.8332 0.5000
N 0.0000 0.5000 0.5000
N 0.6667 0.1668 0.5000
P 0.5834 0.7501 0.2500
P 0.9168 0.0832 0.2500
P 0.2499 0.4166 0.2500
P 0.7501 0.5834 0.7500
P 0.0832 0.9168 0.7500
P 0.4166 0.2499 0.7500
Ta 0.8692 0.7030 0.1081
Ta 0.2027 0.0363 0.1081
Ta 0.5360 0.3698 0.1082
Ta 0.6302 0.4640 0.3918
Ta 0.9637 0.7973 0.3919
Ta 0.2970 0.1308 0.3919
Ta 0.7030 0.8692 0.6081
Ta 0.0363 0.2027 0.6081
Ta 0.3698 0.5360 0.6082
Ta 0.4640 0.6302 0.8918
Ta 0.7973 0.9637 0.8919
Ta 0.1308 0.2970 0.8919

Electronic total energy   -40.45 eV per formula unit
Symmetry   No. 194



No. 9
This record from OQMD via LeMat-Bulk describes a relaxed NaTmBe crystal. The functional is PBE.

Cell: 4.7501 4.7501 4.7501 Å, 60.00 60.00 60.00°
Atoms (fractional coordinates):
Be 0.2500 0.2500 0.2500
Na 0.7500 0.7500 0.7500
Tm 0.0000 0.0000 0.0000

E above lowest polymorph   1.24 eV per formula unit
Symmetry   No. 216



No. 10
This record from OQMD via LeMat-Bulk describes a relaxed ZrFeAgGe crystal. The functional is PBE.

Cell: 4.5508 4.5508 4.5508 Å, 60.00 60.00 60.00°
Atoms (fractional coordinates):
Ag 0.2500 0.2500 0.2500
Fe 0.7500 0.7500 0.7500
Ge 0.0000 0.0000 0.0000
Zr 0.5000 0.5000 0.5000

E above lowest polymorph   0.22 eV per formula unit
Symmetry   No. 216



No. 11
This record from OQMD via LeMat-Bulk describes a relaxed PrZrSi crystal. The functional is PBE.

Cell: 4.9414 4.9414 4.9414 Å, 60.00 60.00 60.00°
Atoms (fractional coordinates):
Pr 0.0000 0.0000 0.0000
Si 0.2500 0.2500 0.2500
Zr 0.7500 0.7500 0.7500

E above lowest polymorph   3.27 eV per formula unit
Symmetry   No. 216



No. 12
This record from OQMD via LeMat-Bulk describes a relaxed KPuCuSe3 crystal. The functional is PBE.

Cell: 7.5660 7.5660 10.6224 Å, 90.00 90.00 148.43°
Atoms (fractional coordinates):
Cu 0.0340 0.9660 0.2500
Cu 0.9660 0.0340 0.7500
K 0.7530 0.2470 0.2500
K 0.2470 0.7530 0.7500
Pu 0.5000 0.5000 0.0000
Pu 0.5000 0.5000 0.5000
Se 0.1260 0.8740 0.0602
Se 0.4354 0.5646 0.2500
Se 0.1260 0.8740 0.4398
Se 0.8740 0.1260 0.5602
Se 0.5646 0.4354 0.7500
Se 0.8740 0.1260 0.9398

Electronic total energy   -36.26 eV per formula unit
Symmetry   No. 63